Computed, not measured: a relaxed AcTbEuGa crystal at the PBE level of DFT.

POSCAR file:
```
AcTbEuGa
1.0
7.929 0.000 0.000
0.000 7.929 0.000
0.000 0.000 7.929
Ac Tb Eu Ga
4 4 4 4
Direct
0.000 0.000 0.000
0.000 0.500 0.500
0.500 0.000 0.500
0.500 0.500 0.000
0.250 0.250 0.250
0.250 0.750 0.750
0.750 0.250 0.750
0.750 0.750 0.250
0.250 0.250 0.750
0.250 0.750 0.250
0.750 0.250 0.250
0.750 0.750 0.750
0.000 0.000 0.500
0.000 0.500 0.000
0.500 0.000 0.000
0.500 0.500 0.500
```

Values from the calculation:
DOS at the Fermi energy, states/eV per atom: 1.49
E, eV/atom: -5.45

=====

Computed, not measured: a relaxed Fe2PtCl crystal at the PBE level of DFT.

POSCAR file:
```
Fe2PtCl
1.0
6.207 0.000 0.000
0.000 6.207 0.000
0.000 0.000 6.207
Fe Pt Cl
8 4 4
Direct
0.250 0.250 0.250
0.250 0.250 0.750
0.250 0.750 0.250
0.250 0.750 0.750
0.750 0.250 0.250
0.750 0.250 0.750
0.750 0.750 0.250
0.750 0.750 0.750
0.000 0.000 0.000
0.000 0.500 0.500
0.500 0.000 0.500
0.500 0.500 0.000
0.000 0.000 0.500
0.000 0.500 0.000
0.500 0.000 0.000
0.500 0.500 0.500
```

Values from the calculation:
DOS at the Fermi energy, states/eV per atom: 1.21
E, eV/atom: -5.76
Energy relative to the elements, uncorrected, eV/atom: 0.45

=====

Computed, not measured: a relaxed Ba4SrSe crystal at the PBE level of DFT.

POSCAR file:
```
Ba4SrSe
1.0
0.000 5.436 5.436
5.436 0.000 5.436
5.436 5.436 0.000
Ba Sr Se
4 1 1
Direct
0.124 0.124 0.124
0.124 0.124 0.627
0.124 0.627 0.124
0.627 0.124 0.124
0.500 0.500 0.500
0.750 0.750 0.750
```

Values from the calculation:
DOS at the Fermi energy, states/eV per atom: 1.53
E, eV/atom: -2.03
Energy relative to the elements, uncorrected, eV/atom: 0.12

=====

Computed, not measured: a relaxed Tb6YCd2 crystal at the PBE level of DFT.

POSCAR file:
```
Tb6YCd2
1.0
6.326 -1.878 0.000
6.326 1.878 0.000
-3.852 0.000 11.262
Tb Y Cd
6 1 2
Direct
0.015 0.015 0.339
0.312 0.312 0.416
0.314 0.314 0.123
0.686 0.686 0.877
0.688 0.688 0.584
0.985 0.985 0.661
0.000 0.000 0.000
0.355 0.355 0.792
0.645 0.645 0.208
```

Values from the calculation:
DOS at the Fermi energy, states/eV per atom: 1.00
E, eV/atom: -4.14

=====

Computed, not measured: a relaxed ScGaSn2 crystal at the PBE level of DFT.

POSCAR file:
```
ScGaSn2
1.0
4.401 0.000 0.000
-2.201 3.812 0.000
0.000 0.000 18.193
Sc Ga Sn
3 3 6
Direct
0.000 0.000 0.000
0.333 0.667 0.667
0.667 0.333 0.333
0.000 0.000 0.168
0.333 0.667 0.835
0.667 0.333 0.502
0.000 0.000 0.417
0.000 0.000 0.582
0.333 0.667 0.084
0.333 0.667 0.249
0.667 0.333 0.750
0.667 0.333 0.916
```

Values from the calculation:
DOS at the Fermi energy, states/eV per atom: 0.54
E, eV/atom: -4.47

=====

Computed, not measured: a relaxed LaNdDyTl crystal at the PBE level of DFT.

POSCAR file:
```
LaNdDyTl
1.0
7.869 0.000 0.000
0.000 7.869 0.000
0.000 0.000 7.869
La Nd Dy Tl
4 4 4 4
Direct
0.000 0.000 0.000
0.000 0.500 0.500
0.500 0.000 0.500
0.500 0.500 0.000
0.250 0.250 0.250
0.250 0.750 0.750
0.750 0.250 0.750
0.750 0.750 0.250
0.250 0.250 0.750
0.250 0.750 0.250
0.750 0.250 0.250
0.750 0.750 0.750
0.000 0.000 0.500
0.000 0.500 0.000
0.500 0.000 0.000
0.500 0.500 0.500
```

Values from the calculation:
DOS at the Fermi energy, states/eV per atom: 1.90
E, eV/atom: -4.20